No. 1
DFT (PBE) results for a geometry-optimized Li3ZnCd4 structure.

a b c (Å): 9.3440 6.6335 4.6697
angles (deg): 90.00 90.00 90.00
Closest atoms and distances in Å follow each position.
Sites, in units of the cell vectors:
Li1 0.0000 0.0000 0.0000  8 Cd 2.86
Li2 0.2500 0.0000 0.4987  8 Cd 2.86
Li3 0.2500 0.5000 0.4983  8 Cd 2.87
Li4 0.5000 0.0000 0.0000  8 Cd 2.86
Li5 0.7500 0.0000 0.5013  8 Cd 2.86
Li6 0.7500 0.5000 0.5017  8 Cd 2.87
Zn1 0.0000 0.5000 0.0000  8 Cd 2.87
Zn2 0.5000 0.5000 0.0000  8 Cd 2.87
Cd1 0.0000 0.2481 0.5000  6 Li 2.86-2.87, 2 Zn 2.87
Cd2 0.0000 0.7519 0.5000  6 Li 2.86-2.87, 2 Zn 2.87
Cd3 0.2500 0.2481 0.9987  6 Li 2.86-2.87, 2 Zn 2.87
Cd4 0.2500 0.7519 0.9987  6 Li 2.86-2.87, 2 Zn 2.87
Cd5 0.5000 0.2481 0.5000  6 Li 2.86-2.87, 2 Zn 2.87
Cd6 0.5000 0.7519 0.5000  6 Li 2.86-2.87, 2 Zn 2.87
Cd7 0.7500 0.2481 0.0013  6 Li 2.86-2.87, 2 Zn 2.87
Cd8 0.7500 0.7519 0.0013  6 Li 2.86-2.87, 2 Zn 2.87

Summary:
The value obtained for the energy above the lowest structure with this stoichiometry is 0 meV per atom. Its crystal system is orthorhombic. The calculation puts the density at 6.15 g cm⁻³. Its symmetry is No. 51. The density of states at the Fermi level comes out at 0.33 states/eV/atom.

No. 2
DFT (PBE) results for a geometry-optimized Li4Zn2Cd5 structure.

a b c (Å): 10.2051 10.2051 7.1409
angles (deg): 93.54 93.54 16.72
Closest atoms and distances in Å follow each position.
Sites, in units of the cell vectors:
Li1 0.0439 0.0439 0.3455  4 Cd 2.84-2.97, 7 Li 2.92-3.10
Li2 0.4090 0.4090 0.2953  1 Zn 2.79, 5 Cd 2.88-2.99, 6 Li 2.97-3.10
Li3 0.5910 0.5910 0.7047  1 Zn 2.79, 5 Cd 2.88-2.99, 6 Li 2.97-3.10
Li4 0.9561 0.9561 0.6545  4 Cd 2.84-2.97, 7 Li 2.92-3.10
Zn1 0.2747 0.2747 0.1745  1 Li 2.79, 6 Cd 2.88-3.02, 4 Zn 2.97-3.02
Zn2 0.7253 0.7253 0.8255  1 Li 2.79, 6 Cd 2.88-3.02, 4 Zn 2.97-3.02
Cd1 0.1361 0.1361 0.0538  3 Zn 2.88-2.91, 3 Li 2.88-2.99, 5 Cd 2.97-3.13
Cd2 0.1798 0.1798 0.4729  3 Li 2.84-2.92, 3 Zn 2.95-3.02, 3 Cd 2.97-3.07
Cd3 0.5000 0.5000 0.0000  6 Li 2.88-2.97, 6 Cd 2.97-3.13
Cd4 0.8202 0.8202 0.5271  3 Li 2.84-2.92, 3 Zn 2.95-3.02, 3 Cd 2.97-3.07
Cd5 0.8639 0.8639 0.9462  3 Zn 2.88-2.91, 3 Li 2.88-2.99, 5 Cd 2.97-3.13

Summary:
The value obtained for the energy above the lowest structure with this stoichiometry is 94 meV per atom. Its crystal system is monoclinic. The calculation puts the density at 5.60 g cm⁻³. Its symmetry is No. 12. The density of states at the Fermi level comes out at 0.30 states/eV/atom.

No. 3
DFT (PBE) results for a geometry-optimized LiZnCd structure.

a b c (Å): 6.3373 6.3373 6.3373
angles (deg): 90.00 90.00 90.00
Closest atoms and distances in Å follow each position.
Sites, in units of the cell vectors:
Li1 0.0000 0.0000 0.0000  4 Zn 2.74
Li2 0.0000 0.5000 0.5000  4 Zn 2.74
Li3 0.5000 0.0000 0.5000  4 Zn 2.74
Li4 0.5000 0.5000 0.0000  4 Zn 2.74
Zn1 0.2500 0.2500 0.7500  4 Cd 2.74, 4 Li 2.74
Zn2 0.2500 0.7500 0.2500  4 Cd 2.74, 4 Li 2.74
Zn3 0.7500 0.2500 0.2500  4 Cd 2.74, 4 Li 2.74
Zn4 0.7500 0.7500 0.7500  4 Cd 2.74, 4 Li 2.74
Cd1 0.0000 0.0000 0.5000  4 Zn 2.74
Cd2 0.0000 0.5000 0.0000  4 Zn 2.74
Cd3 0.5000 0.0000 0.0000  4 Zn 2.74
Cd4 0.5000 0.5000 0.5000  4 Zn 2.74

Summary:
The value obtained for the energy above the lowest structure with this stoichiometry is 162 meV per atom. Its crystal system is cubic. The calculation puts the density at 4.82 g cm⁻³. Its symmetry is No. 216. The density of states at the Fermi level comes out at 0.87 states/eV/atom.

No. 4
DFT (PBE) results for a geometry-optimized Li8Zn2Cd structure.

a b c (Å): 7.1845 7.1845 4.8349
angles (deg): 102.30 102.30 116.87
Closest atoms and distances in Å follow each position.
Sites, in units of the cell vectors:
Li1 0.0832 0.3176 0.6135  2 Zn 2.66-2.77, 4 Li 2.76-2.96
Li2 0.2275 0.7725 0.0000  2 Zn 2.64, 1 Cd 2.78
Li3 0.3176 0.0832 0.6135  2 Zn 2.66-2.77, 4 Li 2.76-2.96
Li4 0.3960 0.3960 0.1844  2 Zn 2.68, 1 Cd 2.74, 4 Li 2.81-2.92
Li5 0.6040 0.6040 0.8156  2 Zn 2.68, 1 Cd 2.74, 4 Li 2.81-2.92
Li6 0.6824 0.9168 0.3865  2 Zn 2.66-2.77, 4 Li 2.76-2.96
Li7 0.7725 0.2275 0.0000  2 Zn 2.64, 1 Cd 2.78
Li8 0.9168 0.6824 0.3865  2 Zn 2.66-2.77, 4 Li 2.76-2.96
Zn1 0.3137 0.6863 0.5000  8 Li 2.64-2.77
Zn2 0.6863 0.3137 0.5000  8 Li 2.64-2.77
Cd1 0.0000 0.0000 0.0000  4 Li 2.74-2.78

Summary:
The value obtained for the energy above the lowest structure with this stoichiometry is 74 meV per atom. Its crystal system is monoclinic. The calculation puts the density at 2.44 g cm⁻³. Its symmetry is No. 12. The density of states at the Fermi level comes out at 0.42 states/eV/atom.

No. 5
DFT (PBE) results for a geometry-optimized Li2Zn2Cd structure.

a b c (Å): 7.3108 7.3108 3.0493
angles (deg): 90.00 90.00 90.00
Closest atoms and distances in Å follow each position.
Sites, in units of the cell vectors:
Li1 0.1419 0.3581 0.0000  6 Zn 2.61-2.66, 2 Cd 2.82
Li2 0.3581 0.8581 0.0000  6 Zn 2.61-2.66, 2 Cd 2.82
Li3 0.6419 0.1419 0.0000  6 Zn 2.61-2.66, 2 Cd 2.82
Li4 0.8581 0.6419 0.0000  6 Zn 2.61-2.66, 2 Cd 2.82
Zn1 0.1477 0.6477 0.5000  6 Li 2.61-2.66
Zn2 0.3523 0.1477 0.5000  6 Li 2.61-2.66
Zn3 0.6477 0.8523 0.5000  6 Li 2.61-2.66
Zn4 0.8523 0.3523 0.5000  6 Li 2.61-2.66
Cd1 0.0000 0.0000 0.0000  4 Li 2.82, 2 Cd 3.05
Cd2 0.5000 0.5000 0.0000  4 Li 2.82, 2 Cd 3.05

Summary:
The value obtained for the energy above the lowest structure with this stoichiometry is 109 meV per atom. Its crystal system is tetragonal. The calculation puts the density at 5.24 g cm⁻³. Its symmetry is No. 127. The density of states at the Fermi level comes out at 0.40 states/eV/atom.

No. 6
DFT (PBE) results for a geometry-optimized LiZn6Cd structure.

a b c (Å): 4.3592 5.7710 5.0273
angles (deg): 90.00 90.00 90.00
Closest atoms and distances in Å follow each position.
Sites, in units of the cell vectors:
Li1 0.0000 0.0000 0.0000  12 Zn 2.71-2.91
Zn1 0.0000 0.2294 0.5010  6 Zn 2.65-2.71, 2 Li 2.84-2.85, 2 Cd 2.87
Zn2 0.0000 0.5000 0.0758  6 Zn 2.65-2.72, 2 Cd 2.87, 2 Li 2.91
Zn3 0.0000 0.7706 0.5010  6 Zn 2.65-2.71, 2 Li 2.84-2.85, 2 Cd 2.87
Zn4 0.5000 0.0000 0.6795  8 Zn 2.70-2.86, 2 Li 2.71, 2 Cd 2.89
Zn5 0.5000 0.2341 0.1812  7 Zn 2.70-2.86, 2 Li 2.72, 1 Cd 2.85
Zn6 0.5000 0.7659 0.1812  7 Zn 2.70-2.86, 2 Li 2.72, 1 Cd 2.85
Cd1 0.5000 0.5000 0.7035  12 Zn 2.85-3.04

Summary:
The value obtained for the energy above the lowest structure with this stoichiometry is 0 meV per atom. Its crystal system is orthorhombic. The calculation puts the density at 6.72 g cm⁻³. Its symmetry is No. 25. The density of states at the Fermi level comes out at 0.24 states/eV/atom.

No. 7
DFT (PBE) results for a geometry-optimized Li6Zn5Cd structure.

a b c (Å): 7.4931 7.4931 4.1782
angles (deg): 105.95 105.95 113.14
Closest atoms and distances in Å follow each position.
Sites, in units of the cell vectors:
Li1 0.0751 0.4120 0.7435  7 Zn 2.68-2.79, 1 Cd 2.79, 4 Li 2.92-2.97
Li2 0.2367 0.2367 0.2367  6 Zn 2.68-2.83, 2 Cd 2.80-2.83, 4 Li 2.97
Li3 0.4120 0.0751 0.7435  7 Zn 2.68-2.79, 1 Cd 2.79, 4 Li 2.92-2.97
Li4 0.5880 0.9249 0.2565  7 Zn 2.68-2.79, 1 Cd 2.79, 4 Li 2.92-2.97
Li5 0.7633 0.7633 0.7633  6 Zn 2.68-2.83, 2 Cd 2.80-2.83, 4 Li 2.97
Li6 0.9249 0.5880 0.2565  7 Zn 2.68-2.79, 1 Cd 2.79, 4 Li 2.92-2.97
Zn1 0.0000 0.0000 0.5000  8 Li 2.68-2.73, 4 Zn 2.99
Zn2 0.1706 0.8294 0.0000  8 Li 2.71-2.73, 4 Zn 2.89-2.99
Zn3 0.3308 0.6692 0.5000  8 Li 2.68-2.83, 2 Zn 2.89, 2 Cd 2.97
Zn4 0.6692 0.3308 0.5000  8 Li 2.68-2.83, 2 Zn 2.89, 2 Cd 2.97
Zn5 0.8294 0.1706 0.0000  8 Li 2.71-2.73, 4 Zn 2.89-2.99
Cd1 0.5000 0.5000 0.0000  8 Li 2.79-2.83, 4 Zn 2.97

Summary:
The calculation puts the total energy at -0.063 hartree per atom. Its crystal system is monoclinic. The calculation puts the density at 4.27 g cm⁻³. Its symmetry is No. 12. The density of states at the Fermi level comes out at 0.27 states/eV/atom.

No. 8
DFT (PBE) results for a geometry-optimized Li8ZnCd3 structure.

a b c (Å): 5.6587 5.6587 7.4222
angles (deg): 96.79 96.79 113.06
Closest atoms and distances in Å follow each position.
Sites, in units of the cell vectors:
Li1 0.0000 0.0000 0.0000  1 Zn 2.80, 3 Cd 2.83-3.08, 7 Li 2.83-3.08
Li2 0.0201 0.5239 0.0634  8 Li 2.83-3.12, 3 Cd 2.86-3.04, 1 Zn 3.00
Li3 0.1605 0.1605 0.6536  1 Zn 2.84, 5 Cd 2.88-2.89, 5 Li 2.95-3.03
Li4 0.3535 0.8532 0.3948  6 Li 2.85-3.12, 4 Cd 2.87-2.90, 2 Zn 2.87-2.88
Li5 0.5058 0.5058 0.9998  1 Zn 2.79, 3 Cd 2.84-3.04, 7 Li 2.85-3.08
Li6 0.5239 0.0201 0.0634  8 Li 2.83-3.12, 3 Cd 2.86-3.04, 1 Zn 3.00
Li7 0.6743 0.6743 0.6528  1 Zn 2.84, 5 Cd 2.87-2.89, 5 Li 2.92-3.03
Li8 0.8532 0.3535 0.3948  6 Li 2.85-3.12, 4 Cd 2.87-2.90, 2 Zn 2.87-2.88
Zn1 0.8335 0.8335 0.3212  10 Li 2.79-3.00, 2 Cd 3.12
Cd1 0.1913 0.6857 0.7319  10 Li 2.86-3.08, 2 Cd 3.12
Cd2 0.3345 0.3345 0.3247  10 Li 2.83-3.04, 2 Zn 3.12
Cd3 0.6857 0.1913 0.7319  10 Li 2.86-3.08, 2 Cd 3.12

Summary:
The value obtained for the energy above the lowest structure with this stoichiometry is 0 meV per atom. Its crystal system is monoclinic. The calculation puts the density at 3.56 g cm⁻³. Its symmetry is No. 8. The density of states at the Fermi level comes out at 0.35 states/eV/atom.

No. 9
DFT (PBE) results for a geometry-optimized Li23Zn6Cd structure.

a b c (Å): 9.0730 9.0730 9.0730
angles (deg): 60.00 60.00 60.00
Closest atoms and distances in Å follow each position.
Sites, in units of the cell vectors:
Li1 0.0000 0.0000 0.0000  8 Li 2.79
Li2 0.0000 0.0000 0.5000  8 Li 2.77
Li3 0.0000 0.5000 0.0000  8 Li 2.77
Li4 0.0000 0.5000 0.5000  8 Li 2.77
Li5 0.1232 0.6256 0.6256  3 Li 2.77, 3 Zn 2.78, 1 Cd 2.79
Li6 0.1255 0.1255 0.1255  4 Li 2.77-2.79, 3 Zn 2.78
Li7 0.1255 0.1255 0.6235  4 Li 2.77-2.79, 3 Zn 2.78
Li8 0.1255 0.6235 0.1255  4 Li 2.77-2.79, 3 Zn 2.78
Li9 0.3744 0.3744 0.3744  3 Li 2.77, 3 Zn 2.78, 1 Cd 2.79
Li10 0.3744 0.3744 0.8768  3 Li 2.77, 3 Zn 2.78, 1 Cd 2.79
Li11 0.3744 0.8768 0.3744  3 Li 2.77, 3 Zn 2.78, 1 Cd 2.79
Li12 0.3765 0.8745 0.8745  4 Li 2.77-2.79, 3 Zn 2.78
Li13 0.5000 0.0000 0.0000  8 Li 2.77
Li14 0.5000 0.0000 0.5000  8 Li 2.77
Li15 0.5000 0.5000 0.0000  8 Li 2.77
Li16 0.6235 0.1255 0.1255  4 Li 2.77-2.79, 3 Zn 2.78
Li17 0.6256 0.1232 0.6256  3 Li 2.77, 3 Zn 2.78, 1 Cd 2.79
Li18 0.6256 0.6256 0.1232  3 Li 2.77, 3 Zn 2.78, 1 Cd 2.79
Li19 0.6256 0.6256 0.6256  3 Li 2.77, 3 Zn 2.78, 1 Cd 2.79
Li20 0.8745 0.3765 0.8745  4 Li 2.77-2.79, 3 Zn 2.78
Li21 0.8745 0.8745 0.3765  4 Li 2.77-2.79, 3 Zn 2.78
Li22 0.8745 0.8745 0.8745  4 Li 2.77-2.79, 3 Zn 2.78
Li23 0.8768 0.3744 0.3744  3 Li 2.77, 3 Zn 2.78, 1 Cd 2.79
Zn1 0.2503 0.2503 0.7497  8 Li 2.78
Zn2 0.2503 0.7497 0.2503  8 Li 2.78
Zn3 0.2503 0.7497 0.7497  8 Li 2.78
Zn4 0.7497 0.2503 0.2503  8 Li 2.78
Zn5 0.7497 0.2503 0.7497  8 Li 2.78
Zn6 0.7497 0.7497 0.2503  8 Li 2.78
Cd1 0.5000 0.5000 0.5000  8 Li 2.79

Summary:
The calculation puts the total energy at -0.067 hartree per atom. Its crystal system is cubic. The calculation puts the density at 2.09 g cm⁻³. Its symmetry is No. 225. The density of states at the Fermi level comes out at 0.47 states/eV/atom.

No. 10
DFT (PBE) results for a geometry-optimized LiZn3Cd6 structure.

a b c (Å): 7.4667 7.4667 7.4667
angles (deg): 95.57 95.57 95.57
Closest atoms and distances in Å follow each position.
Sites, in units of the cell vectors:
Li1 0.0000 0.0000 0.0000  6 Cd 2.94
Li2 0.5000 0.5000 0.5000  6 Zn 2.68, 6 Cd 2.97
Zn1 0.2519 0.6990 0.6300  1 Li 2.68, 5 Cd 2.73-2.97, 2 Zn 2.73
Zn2 0.3010 0.3700 0.7481  1 Li 2.68, 5 Cd 2.73-2.97, 2 Zn 2.73
Zn3 0.3700 0.7481 0.3010  1 Li 2.68, 5 Cd 2.73-2.97, 2 Zn 2.73
Zn4 0.6300 0.2519 0.6990  1 Li 2.68, 5 Cd 2.73-2.97, 2 Zn 2.73
Zn5 0.6990 0.6300 0.2519  1 Li 2.68, 5 Cd 2.73-2.97, 2 Zn 2.73
Zn6 0.7481 0.3010 0.3700  1 Li 2.68, 5 Cd 2.73-2.97, 2 Zn 2.73
Cd1 0.0167 0.8459 0.3476  3 Zn 2.73-2.97, 1 Li 2.94, 1 Cd 2.98
Cd2 0.1158 0.4201 0.3435  3 Zn 2.83-3.01, 1 Li 2.97, 3 Cd 2.98-3.03
Cd3 0.1541 0.6524 0.9833  3 Zn 2.73-2.97, 1 Li 2.94, 1 Cd 2.98
Cd4 0.3435 0.1158 0.4201  3 Zn 2.83-3.01, 1 Li 2.97, 3 Cd 2.98-3.03
Cd5 0.3476 0.0167 0.8459  3 Zn 2.73-2.97, 1 Li 2.94, 1 Cd 2.98
Cd6 0.4201 0.3435 0.1158  3 Zn 2.83-3.01, 1 Li 2.97, 3 Cd 2.98-3.03
Cd7 0.5799 0.6565 0.8842  3 Zn 2.83-3.01, 1 Li 2.97, 3 Cd 2.98-3.03
Cd8 0.6524 0.9833 0.1541  3 Zn 2.73-2.97, 1 Li 2.94, 1 Cd 2.98
Cd9 0.6565 0.8842 0.5799  3 Zn 2.83-3.01, 1 Li 2.97, 3 Cd 2.98-3.03
Cd10 0.8459 0.3476 0.0167  3 Zn 2.73-2.97, 1 Li 2.94, 1 Cd 2.98
Cd11 0.8842 0.5799 0.6565  3 Zn 2.83-3.01, 1 Li 2.97, 3 Cd 2.98-3.03
Cd12 0.9833 0.1541 0.6524  3 Zn 2.73-2.97, 1 Li 2.94, 1 Cd 2.98

Summary:
The calculation puts the total energy at -0.041 hartree per atom. Its crystal system is trigonal. The calculation puts the density at 7.11 g cm⁻³. Its symmetry is No. 148. The density of states at the Fermi level comes out at 0.32 states/eV/atom.

No. 11
DFT (PBE) results for a geometry-optimized Li2Zn6Cd structure.

a b c (Å): 6.2685 6.2685 6.2685
angles (deg): 60.00 60.00 60.00
Closest atoms and distances in Å follow each position.
Sites, in units of the cell vectors:
Li1 0.2500 0.2500 0.2500  12 Zn 3.15
Li2 0.7500 0.7500 0.7500  12 Zn 3.15
Zn1 0.2094 0.2094 0.7906  1 Cd 2.58, 4 Zn 2.62
Zn2 0.2094 0.7906 0.2094  1 Cd 2.58, 4 Zn 2.62
Zn3 0.2094 0.7906 0.7906  1 Cd 2.58, 4 Zn 2.62
Zn4 0.7906 0.2094 0.2094  1 Cd 2.58, 4 Zn 2.62
Zn5 0.7906 0.2094 0.7906  1 Cd 2.58, 4 Zn 2.62
Zn6 0.7906 0.7906 0.2094  1 Cd 2.58, 4 Zn 2.62
Cd1 0.5000 0.5000 0.5000  6 Zn 2.58

Summary:
The calculation puts the total energy at -0.048 hartree per atom. Its crystal system is cubic. The calculation puts the density at 4.95 g cm⁻³. Its symmetry is No. 225. The density of states at the Fermi level comes out at 0.37 states/eV/atom.

No. 12
DFT (PBE) results for a geometry-optimized Li5Zn2Cd structure.

a b c (Å): 7.5022 7.5022 7.5022
angles (deg): 124.01 124.01 83.18
Closest atoms and distances in Å follow each position.
Sites, in units of the cell vectors:
Li1 0.0000 0.0000 0.0000  4 Zn 2.75, 2 Cd 2.81
Li2 0.0039 0.5039 0.8158  3 Zn 2.69-2.70, 1 Li 2.83, 2 Cd 2.86
Li3 0.1881 0.0039 0.5000  3 Zn 2.69-2.70, 1 Li 2.83, 2 Cd 2.86
Li4 0.3119 0.8119 0.8158  3 Zn 2.69-2.70, 1 Li 2.83, 2 Cd 2.86
Li5 0.4961 0.3119 0.5000  3 Zn 2.69-2.70, 1 Li 2.83, 2 Cd 2.86
Li6 0.5000 0.5000 0.0000  4 Zn 2.75, 2 Cd 2.81
Li7 0.5039 0.6881 0.5000  3 Zn 2.69-2.70, 1 Li 2.83, 2 Cd 2.86
Li8 0.6881 0.1881 0.1842  3 Zn 2.69-2.70, 1 Li 2.83, 2 Cd 2.86
Li9 0.8119 0.9961 0.5000  3 Zn 2.69-2.70, 1 Li 2.83, 2 Cd 2.86
Li10 0.9961 0.4961 0.1842  3 Zn 2.69-2.70, 1 Li 2.83, 2 Cd 2.86
Zn1 0.1339 0.3661 0.5000  1 Zn 2.67, 8 Li 2.69-2.75
Zn2 0.3661 0.8661 0.2322  1 Zn 2.67, 8 Li 2.69-2.75
Zn3 0.6339 0.1339 0.7678  1 Zn 2.67, 8 Li 2.69-2.75
Zn4 0.8661 0.6339 0.5000  1 Zn 2.67, 8 Li 2.69-2.75
Cd1 0.2500 0.2500 0.0000  10 Li 2.81-2.86
Cd2 0.7500 0.7500 0.0000  10 Li 2.81-2.86

Summary:
The value obtained for the energy above the lowest structure with this stoichiometry is 51 meV per atom. Its crystal system is tetragonal. The calculation puts the density at 3.32 g cm⁻³. Its symmetry is No. 140. The density of states at the Fermi level comes out at 0.39 states/eV/atom.